Record 1
Density functional theory data (PBE) for a geometry-optimized Ti2VGa4 structure.

a b c (Å): 5.064 5.092 8.836
angles (deg): 90.00 106.09 90.00
Element x y z (fractional)
1 Ti 0.090 0.250 0.406
2 Ti 0.348 0.750 0.989
3 Ti 0.652 0.250 0.011
4 Ti 0.910 0.750 0.594
5 V 0.014 0.250 0.803
6 V 0.986 0.750 0.197
7 Ga 0.175 0.250 0.105
8 Ga 0.330 0.750 0.462
9 Ga 0.407 0.007 0.724
10 Ga 0.407 0.493 0.724
11 Ga 0.593 0.507 0.276
12 Ga 0.593 0.993 0.276
13 Ga 0.670 0.250 0.538
14 Ga 0.825 0.750 0.895

## Properties
For the volume, the calculation gives 218.89 Å³/cell. For the total magnetization, the calculation gives 0.7 Bohr magnetons per cell. The energy of formation is -1.73 eV/f.u. Its symmetry is P2_1/m (11).

=====

Record 2
Density functional theory data (PBE) for a geometry-optimized KCaCl2 structure.

a b c (Å): 3.756 4.095 17.530
angles (deg): 90.00 90.00 90.00
Element x y z (fractional)
1 K 0.000 0.000 0.000
2 K 0.500 0.500 0.500
3 Ca 0.000 0.500 0.768
4 Ca 0.500 0.000 0.268
5 Cl 0.000 0.000 0.392
6 Cl 0.000 0.500 0.230
7 Cl 0.500 0.000 0.730
8 Cl 0.500 0.500 0.892

## Properties
For the volume, the calculation gives 269.59 Å³/cell. Its uncorrected formation energy is -1.632 eV/atom. For the total magnetization, the calculation gives 0.0 Bohr magnetons per cell. The value obtained for the energy above the most stable polymorph in this dataset is 0.40 eV per formula unit. Its symmetry is Imm2 (44).

=====

Record 3
Density functional theory data (PBE) for a geometry-optimized CeTl2SiS4 structure.

a b c (Å): 8.250 8.250 8.250
angles (deg): 121.05 118.48 90.42
Element x y z (fractional)
1 Ce 0.000 0.000 0.000
2 Ce 0.500 0.000 0.500
3 Tl 0.000 0.500 0.500
4 Tl 0.500 0.000 0.000
5 Tl 0.500 0.500 0.000
6 Tl 0.500 0.500 0.500
7 Si 0.000 0.000 0.500
8 Si 0.000 0.500 0.000
9 S 0.188 0.235 0.953
10 S 0.218 0.765 0.453
11 S 0.222 0.193 0.471
12 S 0.222 0.751 0.029
13 S 0.778 0.249 0.971
14 S 0.778 0.807 0.529
15 S 0.782 0.235 0.547
16 S 0.812 0.765 0.047

## Properties
For the volume, the calculation gives 398.15 Å³/cell. Its uncorrected formation energy is -0.762 eV/atom. For the total magnetization, the calculation gives 0.4 Bohr magnetons per cell. Its symmetry is Imma (74).

=====

Q: The lowest total magnetization belongs to which entry?
A: KCaCl2

=====

Q: Look up the total magnetization of the first one.
A: 0.7 Bohr magnetons per cell

=====

Q: The lowest volume belongs to which entry?
A: Ti2VGa4